A relaxed structure of MgCrIO2, computed with PBE with a Hubbard U.

```
5
Lattice="3.977 0.000 0.000 0.000 3.977 0.000 0.000 0.000 6.083" Properties=species:S:1:pos:R:3 pbc="T T T"
I 0.000 0.000 3.042
Cr 1.989 1.989 3.042
Mg 0.000 0.000 0.000
O 0.000 1.989 0.000
O 1.989 0.000 0.000
```

Output
Crystal system ... tetragonal
V ... 96 Å³ per cell
Space group ... No. 123
D(E_F) ... 1.09 states/eV/atom
Uncorrected energy ... -4.606 eV per atom